## Ba2Sb (PBE)

Data for Ba2Sb after structural relaxation.

Values from the calculation:
The spin magnetization is 0.199 μB/atom. For the formation energy from raw total energies, the calculation gives -0.699 eV/atom. As for the raw total energy: -40.3 eV/cell.

Geometry as CIF:
```
data_Ba2Sb
_cell_length_a 4.363
_cell_length_b 4.363
_cell_length_c 32.691
_cell_angle_alpha 90.00
_cell_angle_beta 90.00
_cell_angle_gamma 90.00
_space_group_name_H-M_alt 'I 41/a m d'
_space_group_IT_number 141
loop_
_space_group_symop_operation_xyz
'x,y,z'
'-x,-y,-z'
'-y+1/4,x+3/4,z+1/4'
'y+1/4,-x+3/4,-z+1/4'
'-x+1/2,-y,z+1/2'
'x+1/2,y,-z+1/2'
'y+1/4,-x+1/4,z+3/4'
'-y+1/4,x+1/4,-z+3/4'
'x,-y,-z'
'-x,y,z'
'-y+1/4,-x+1/4,-z+3/4'
'y+1/4,x+1/4,z+3/4'
'-x+1/2,y,-z+1/2'
'x+1/2,-y,z+1/2'
'y+1/4,x+3/4,-z+1/4'
'-y+1/4,-x+3/4,z+1/4'
'x+1/2,y+1/2,z+1/2'
'-x+1/2,-y+1/2,-z+1/2'
'-y+3/4,x+1/4,z+3/4'
'y+3/4,-x+1/4,-z+3/4'
'-x,-y+1/2,z'
'x,y+1/2,-z'
'y+3/4,-x+3/4,z+1/4'
'-y+3/4,x+3/4,-z+1/4'
'x+1/2,-y+1/2,-z+1/2'
'-x+1/2,y+1/2,z+1/2'
'-y+3/4,-x+3/4,-z+1/4'
'y+3/4,x+3/4,z+1/4'
'-x,y+1/2,-z'
'x,-y+1/2,z'
'y+3/4,x+1/4,-z+3/4'
'-y+3/4,-x+1/4,z+3/4'
loop_
_atom_site_label
_atom_site_fract_x
_atom_site_fract_y
_atom_site_fract_z
_atom_site_occupancy
Ba1 0.000 0.250 0.320 1
Sb1 0.000 0.250 0.875 1
```